[1]
## Sr5TlAg4 (PBE)

Data for a geometry-optimized Sr5TlAg4 structure.

Cell and atoms, written as POSCAR:
```
Sr5TlAg4
1.0
3.9697 0.0000 0.0000
0.0000 3.9697 0.0000
0.0000 0.0000 19.8714
Sr Tl Ag
5 1 4
Cartesian
0.0000 0.0000 0.0000
0.0000 0.0000 3.8837
0.0000 0.0000 7.8066
0.0000 0.0000 12.0647
0.0000 0.0000 15.9877
1.9848 1.9848 9.9357
1.9848 1.9848 1.9405
1.9848 1.9848 5.8252
1.9848 1.9848 14.0462
1.9848 1.9848 17.9309
```

Properties
- formation enthalpy at 0 K (eV/atom) = -0.29
- magnetic moment (Bohr magnetons per cell) = 0.0
- calculated density (g/cm3) = 5.695
- space-group type = No. 123
- final energy (eV per atom) = -2.5112



[2]
## Sr6Tl2Ag (PBE)

Data for a geometry-optimized Sr6Tl2Ag structure.

Cell and atoms, written as POSCAR:
```
Sr6Tl2Ag
1.0
-5.1329 5.6660 6.4240
5.1329 -5.6660 6.4240
5.1329 5.6660 -6.4240
Sr Tl Ag
12 4 2
Cartesian
5.1329 3.4104 -3.4445
2.9263 2.0289 0.0000
7.3394 2.0289 0.0000
2.0867 5.6660 -2.0256
3.0462 0.0000 4.3984
0.0000 2.2556 2.9795
5.1329 3.4104 3.4445
2.0867 5.6660 2.0256
3.0462 0.0000 8.4496
-2.2066 3.6371 6.4240
2.2066 3.6371 6.4240
0.0000 2.2556 9.8685
5.1329 0.0000 1.7301
0.0000 3.8422 0.0000
0.0000 7.4898 0.0000
0.0000 5.6660 4.6939
0.0000 0.0000 0.0000
0.0000 0.0000 6.4240
```

Properties
- formation enthalpy at 0 K (eV/atom) = -0.21
- magnetic moment (Bohr magnetons per cell) = 0.0
- calculated density (g/cm3) = 4.632
- space-group type = No. 71
- final energy (eV per atom) = -2.1693



[3]
## Sr2TlAg2 (PBE)

Data for a geometry-optimized Sr2TlAg2 structure.

Cell and atoms, written as POSCAR:
```
Sr2TlAg2
1.0
5.4447 -3.0995 0.0000
5.4447 3.0995 0.0000
-2.3221 0.0000 8.7115
Sr Tl Ag
4 2 4
Cartesian
1.2811 0.9249 1.2927
7.2862 -0.9249 7.4188
0.1200 -0.9249 5.6485
8.4473 0.9249 3.0630
4.8642 1.0966 2.1779
3.7031 -1.0966 6.5336
2.7857 0.8546 4.3950
4.6205 0.8546 8.6723
3.9468 -0.8546 0.0392
5.7816 -0.8546 4.3166
```

Properties
- formation enthalpy at 0 K (eV/atom) = -0.31
- magnetic moment (Bohr magnetons per cell) = 0.0
- calculated density (g/cm3) = 6.725
- space-group type = No. 15
- final energy (eV per atom) = -2.5993



[4]
## Sr3TlAg (PBE)

Data for a geometry-optimized Sr3TlAg structure.

Cell and atoms, written as POSCAR:
```
Sr3TlAg
1.0
6.0808 0.0000 0.0000
0.0000 6.0808 0.0000
0.0000 0.0000 6.0808
Sr Tl Ag
3 1 1
Cartesian
0.0000 0.0000 3.0404
0.0000 3.0404 0.0000
3.0404 0.0000 0.0000
3.0404 3.0404 3.0404
0.0000 0.0000 0.0000
```

Properties
- formation enthalpy at 0 K (eV/atom) = -0.06
- magnetic moment (Bohr magnetons per cell) = 0.0
- calculated density (g/cm3) = 4.247
- space-group type = No. 221
- final energy (eV per atom) = -2.1110



[5]
## Sr3TlAg8 (PBE)

Data for a geometry-optimized Sr3TlAg8 structure.

Cell and atoms, written as POSCAR:
```
Sr3TlAg8
1.0
2.9141 1.6824 9.7251
-2.9141 1.6824 9.7251
0.0000 -3.3649 9.7251
Sr Tl Ag
3 1 8
Cartesian
0.0000 0.0000 0.0000
0.0000 0.0000 3.7813
0.0000 0.0000 17.8756
0.0000 0.0000 14.3820
0.0000 -1.7037 6.6102
-1.4635 -0.8450 11.4651
-1.4755 0.8519 6.6102
0.0000 0.0000 9.0269
1.4635 -0.8450 11.4651
0.0000 1.6899 11.4651
1.4755 0.8519 6.6102
0.0000 0.0000 23.6320
```

Properties
- formation enthalpy at 0 K (eV/atom) = -0.20
- magnetic moment (Bohr magnetons per cell) = 0.0
- calculated density (g/cm3) = 7.721
- space-group type = No. 160
- final energy (eV per atom) = -2.7146



[6]
## Sr2Tl6Ag (PBE)

Data for a geometry-optimized Sr2Tl6Ag structure.

Cell and atoms, written as POSCAR:
```
Sr2Tl6Ag
1.0
6.0157 -3.4664 0.0000
6.0157 3.4664 0.0000
-0.0027 0.0000 6.5445
Sr Tl Ag
2 6 1
Cartesian
1.9978 0.0000 1.0739
10.0309 0.0000 5.4707
4.9531 1.8224 2.0631
3.8947 0.0000 4.4954
7.0756 1.8224 4.4814
4.9531 -1.8224 2.0631
8.1340 0.0000 2.0491
7.0756 -1.8224 4.4814
6.0157 0.0000 0.0000
```

Properties
- formation enthalpy at 0 K (eV/atom) = -0.21
- magnetic moment (Bohr magnetons per cell) = 0.0
- calculated density (g/cm3) = 9.183
- space-group type = No. 12
- final energy (eV per atom) = -2.4752